(1)
# PBE-GGA PuPaBiTe, relaxed
data_PuPaBiTe
_chemical_formula_sum 'Pu3 Pa3 Bi3 Te3'
_cell_length_a 4.2745
_cell_length_b 4.2745
_cell_length_c 24.0567
_cell_angle_alpha 90.00
_cell_angle_beta 90.00
_cell_angle_gamma 120.00
_space_group_name_H-M_alt 'R 3 m'
_space_group_IT_number 160
_space_group_name_Hall 'R 3 -2"'
loop_
_atom_site_label
_atom_site_fract_x
_atom_site_fract_y
_atom_site_fract_z
_atom_site_occupancy
Pu1 0.0000 0.0000 0.0000 1
Pa1 0.0000 0.0000 0.8335 1
Bi1 0.0000 0.0000 0.4167 1
Te1 0.0000 0.0000 0.5842 1
# - formation energy from raw total energies (eV per atom) = -0.46
# - distance to the lowest polymorph of the same formula (meV/atom) = 74.6
# - raw total energy (eV/atom) = -8.17


(2)
# PBE-GGA PuPaTlBi, relaxed
data_PuPaTlBi
_chemical_formula_sum 'Pu4 Pa4 Tl4 Bi4'
_cell_length_a 7.6722
_cell_length_b 7.6722
_cell_length_c 7.6722
_cell_angle_alpha 90.00
_cell_angle_beta 90.00
_cell_angle_gamma 90.00
_space_group_name_H-M_alt 'F -4 3 m'
_space_group_IT_number 216
_space_group_name_Hall 'F -4 2 3'
loop_
_atom_site_label
_atom_site_fract_x
_atom_site_fract_y
_atom_site_fract_z
_atom_site_occupancy
Pu1 0.0000 0.0000 0.0000 1
Pa1 0.0000 0.0000 0.5000 1
Tl1 0.2500 0.2500 0.2500 1
Bi1 0.2500 0.2500 0.7500 1
# - raw total energy (eV/atom) = -7.47


- raw total energy of number 1 (PuPaBiTe)?
  -8.17 eV/atom


- What is the formula in the first record?
  PuPaBiTe


- The highest raw total energy belongs to which entry?
  PuPaTlBi